No. 1
A plane-wave DFT calculation with PBEsol was carried out for a relaxed Ba2Te2N crystal. Values from VASP.

```
&SYSTEM
  ibrav = 0, nat = 10, ntyp = 3
/
ATOMIC_SPECIES
Ba 137.33 Ba.upf
Te 127.60 Te.upf
N 14.01 N.upf
CELL_PARAMETERS angstrom
6.584 0.000 0.000
0.000 6.584 0.000
0.000 0.000 7.845
ATOMIC_POSITIONS crystal
Ba 0.000 0.500 0.250
Ba 0.000 0.500 0.750
Ba 0.500 0.000 0.250
Ba 0.500 0.000 0.750
Te 0.000 0.000 0.210
Te 0.000 0.000 0.790
Te 0.500 0.500 0.290
Te 0.500 0.500 0.710
N 0.000 0.000 0.500
N 0.500 0.500 0.000
```

No. 2
A plane-wave DFT calculation with PBEsol was carried out for a relaxed BaTe2N2 crystal. Values from VASP.

Values from the calculation:
- Energy above the lowest structure with this stoichiometry: 0.00 eV/f.u.

```
&SYSTEM
  ibrav = 0, nat = 10, ntyp = 3
/
ATOMIC_SPECIES
Ba 137.33 Ba.upf
Te 127.60 Te.upf
N 14.01 N.upf
CELL_PARAMETERS angstrom
4.591 0.000 0.000
0.000 4.591 0.000
0.000 0.000 10.627
ATOMIC_POSITIONS crystal
Ba 0.000 0.000 0.000
Ba 0.500 0.500 0.500
Te 0.000 0.000 0.304
Te 0.000 0.000 0.696
Te 0.500 0.500 0.196
Te 0.500 0.500 0.804
N 0.000 0.500 0.250
N 0.000 0.500 0.750
N 0.500 0.000 0.250
N 0.500 0.000 0.750
```

No. 3
A plane-wave DFT calculation with PBEsol was carried out for a relaxed BaTiTeN2 crystal. Values from VASP.

```
&SYSTEM
  ibrav = 0, nat = 5, ntyp = 4
/
ATOMIC_SPECIES
Ba 137.33 Ba.upf
Ti 47.87 Ti.upf
Te 127.60 Te.upf
N 14.01 N.upf
CELL_PARAMETERS angstrom
4.348 0.000 0.000
0.000 4.348 0.000
0.000 0.000 6.622
ATOMIC_POSITIONS crystal
Ba 0.000 0.000 0.000
Ti 0.500 0.500 0.500
Te 0.000 0.000 0.500
N 0.000 0.500 0.000
N 0.500 0.000 0.000
```

For reference, raw formation energy by record: -269 336 1539 meV per atom.